Entry 1:
First-principles (PBE) data for Tl3Sn5 after structural relaxation, as listed in the Alexandria database.

Output
**Crystal system**: orthorhombic
**Raw total energy**: -213.0 eV/cell

Structure (CIF):
```
data_Tl3Sn5
_chemical_formula_sum 'Tl24 Sn40'
_cell_length_a 6.419
_cell_length_b 19.865
_cell_length_c 15.235
_cell_angle_alpha 90.00
_cell_angle_beta 90.00
_cell_angle_gamma 90.00
_space_group_name_H-M_alt 'F d d 2'
_space_group_IT_number 43
_space_group_name_Hall 'F 2 -2d'
loop_
_atom_site_label
_atom_site_type_symbol
_atom_site_fract_x
_atom_site_fract_y
_atom_site_fract_z
Tl1 Tl 0.000 0.000 0.000
Tl2 Tl 0.125 0.169 0.447
Sn1 Sn 0.000 0.000 0.422
Sn2 Sn 0.100 0.191 0.049
Sn3 Sn 0.102 0.423 0.100
```

Entry 2:
First-principles (PBE) data for SrVN2 after structural relaxation, as listed in the Alexandria database.

Output
**Formation energy (no corrections)**: -3.687 eV per formula unit
**Crystal system**: tetragonal

Structure (CIF):
```
data_SrVN2
_chemical_formula_sum 'Sr4 V4 N8'
_cell_length_a 5.629
_cell_length_b 5.629
_cell_length_c 7.579
_cell_angle_alpha 90.00
_cell_angle_beta 90.00
_cell_angle_gamma 90.00
_space_group_name_H-M_alt 'I -4 2 d'
_space_group_IT_number 122
_space_group_name_Hall 'I -4 2bw'
loop_
_atom_site_label
_atom_site_type_symbol
_atom_site_fract_x
_atom_site_fract_y
_atom_site_fract_z
Sr1 Sr 0.000 0.000 0.000
V1 V 0.000 0.000 0.500
N1 N 0.144 0.250 0.625
```

Entry 3:
First-principles (PBE) data for Mn2SiHOs after structural relaxation, as listed in the Alexandria database.

Output
**Crystal system**: tetragonal
**Raw total energy**: -38.8 eV/cell

Structure (CIF):
```
data_Mn2SiHOs
_chemical_formula_sum 'Mn2 Si1 H1 Os1'
_cell_length_a 3.689
_cell_length_b 3.689
_cell_length_c 3.887
_cell_angle_alpha 90.00
_cell_angle_beta 90.00
_cell_angle_gamma 90.00
_space_group_name_H-M_alt 'P 4/m m m'
_space_group_IT_number 123
_space_group_name_Hall '-P 4 2'
loop_
_atom_site_label
_atom_site_type_symbol
_atom_site_fract_x
_atom_site_fract_y
_atom_site_fract_z
Mn1 Mn 0.000 0.500 0.000
Si1 Si 0.000 0.000 0.500
H1 H 0.500 0.500 0.000
Os1 Os 0.500 0.500 0.500
```